Entry 1:
A plane-wave DFT calculation with PBE was carried out for a relaxed LiAg3PbS4 crystal. Values from VASP.

```
&SYSTEM
  ibrav = 0, nat = 9, ntyp = 4
/
ATOMIC_SPECIES
Li 6.94 Li.upf
Ag 107.87 Ag.upf
Pb 207.20 Pb.upf
S 32.06 S.upf
CELL_PARAMETERS angstrom
5.999 0.000 0.000
0.000 5.999 0.000
0.000 0.000 5.999
ATOMIC_POSITIONS crystal
Li 0.000 0.000 0.000
Ag 0.000 0.500 0.500
Ag 0.500 0.000 0.500
Ag 0.500 0.500 0.000
Pb 0.500 0.500 0.500
S 0.235 0.235 0.235
S 0.235 0.765 0.765
S 0.765 0.235 0.765
S 0.765 0.765 0.235
```

energy = -3.480 eV/atom
calculated volume = 23.982 Å³/atom



Entry 2:
A plane-wave DFT calculation with PBE was carried out for a relaxed Tm2Te6Os crystal. Values from VASP.

```
&SYSTEM
  ibrav = 0, nat = 9, ntyp = 3
/
ATOMIC_SPECIES
Tm 168.93 Tm.upf
Te 127.60 Te.upf
Os 190.23 Os.upf
CELL_PARAMETERS angstrom
8.275 0.000 0.000
-4.138 7.167 0.000
0.000 0.000 3.959
ATOMIC_POSITIONS crystal
Tm 0.333 0.667 0.000
Tm 0.667 0.333 0.000
Te 0.000 0.229 0.000
Te 0.000 0.559 0.500
Te 0.229 0.000 0.000
Te 0.441 0.441 0.500
Te 0.559 0.000 0.500
Te 0.771 0.771 0.000
Os 0.000 0.000 0.500
```

energy = -4.887 eV/atom
calculated volume = 26.091 Å³/atom



Entry 3:
A plane-wave DFT calculation with PBE was carried out for a relaxed SmZnInTe3 crystal. Values from VASP.

```
&SYSTEM
  ibrav = 0, nat = 24, ntyp = 4
/
ATOMIC_SPECIES
Sm 150.36 Sm.upf
Zn 65.41 Zn.upf
In 114.82 In.upf
Te 127.60 Te.upf
CELL_PARAMETERS angstrom
11.735 0.000 0.000
0.000 4.384 0.000
0.000 0.000 15.332
ATOMIC_POSITIONS crystal
Sm 0.012 0.250 0.244
Sm 0.488 0.750 0.744
Sm 0.512 0.250 0.256
Sm 0.988 0.750 0.756
Zn 0.241 0.250 0.717
Zn 0.259 0.750 0.217
Zn 0.741 0.250 0.783
Zn 0.759 0.750 0.283
In 0.226 0.750 0.507
In 0.274 0.250 0.007
In 0.726 0.750 0.993
In 0.774 0.250 0.493
Te 0.053 0.250 0.616
Te 0.082 0.750 0.108
Te 0.241 0.750 0.827
Te 0.259 0.250 0.327
Te 0.418 0.250 0.608
Te 0.447 0.750 0.116
Te 0.553 0.250 0.884
Te 0.582 0.750 0.392
Te 0.741 0.750 0.673
Te 0.759 0.250 0.173
Te 0.918 0.250 0.892
Te 0.947 0.750 0.384
```

energy = -3.810 eV/atom
offset from the most stable computed form = 0.00 eV per formula unit
calculated volume = 32.863 Å³/atom



Entry 4:
A plane-wave DFT calculation with PBE was carried out for a relaxed BaLuAg crystal. Values from VASP.

```
&SYSTEM
  ibrav = 0, nat = 3, ntyp = 3
/
ATOMIC_SPECIES
Ba 137.33 Ba.upf
Lu 174.97 Lu.upf
Ag 107.87 Ag.upf
CELL_PARAMETERS angstrom
0.000 3.702 3.702
3.702 0.000 3.702
3.702 3.702 0.000
ATOMIC_POSITIONS crystal
Ba 0.000 0.000 0.000
Lu 0.750 0.750 0.750
Ag 0.500 0.500 0.500
```

energy = -2.624 eV/atom
calculated volume = 33.823 Å³/atom



Entry 5:
A plane-wave DFT calculation with PBE was carried out for a relaxed SrCd2InGe crystal. Values from VASP.

```
&SYSTEM
  ibrav = 0, nat = 5, ntyp = 4
/
ATOMIC_SPECIES
Sr 87.62 Sr.upf
Cd 112.41 Cd.upf
In 114.82 In.upf
Ge 72.64 Ge.upf
CELL_PARAMETERS angstrom
-2.297 2.297 6.144
2.297 -2.297 6.144
2.297 2.297 -6.144
ATOMIC_POSITIONS crystal
Sr 0.000 0.000 0.000
Cd 0.264 0.764 0.500
Cd 0.764 0.264 0.500
In 0.619 0.619 0.000
Ge 0.400 0.400 0.000
```

energy = -2.482 eV/atom
calculated volume = 25.925 Å³/atom



Entry 6:
A plane-wave DFT calculation with PBE was carried out for a relaxed Gd2ErTl3AgPd2 crystal. Values from VASP.

```
&SYSTEM
  ibrav = 0, nat = 9, ntyp = 5
/
ATOMIC_SPECIES
Gd 157.25 Gd.upf
Er 167.26 Er.upf
Tl 204.38 Tl.upf
Ag 107.87 Ag.upf
Pd 106.42 Pd.upf
CELL_PARAMETERS angstrom
3.784 0.000 0.000
0.000 6.867 3.974
0.000 -6.867 3.974
ATOMIC_POSITIONS crystal
Gd 0.000 0.203 0.797
Gd 0.000 0.797 0.203
Er 0.000 0.611 0.611
Tl 0.500 0.204 0.477
Tl 0.500 0.477 0.204
Tl 0.500 0.930 0.930
Ag 0.000 0.204 0.204
Pd 0.500 0.538 0.867
Pd 0.500 0.867 0.538
```

energy = -4.343 eV/atom
calculated volume = 22.947 Å³/atom



Entry 7:
A plane-wave DFT calculation with PBE was carried out for a relaxed Y2Zr4Ni3C3 crystal. Values from VASP.

```
&SYSTEM
  ibrav = 0, nat = 24, ntyp = 4
/
ATOMIC_SPECIES
Y 88.91 Y.upf
Zr 91.22 Zr.upf
Ni 58.69 Ni.upf
C 12.01 C.upf
CELL_PARAMETERS angstrom
5.035 -2.910 0.000
5.035 2.910 0.000
-3.488 0.000 13.420
ATOMIC_POSITIONS crystal
Y 0.041 0.877 0.617
Y 0.123 0.959 0.883
Y 0.877 0.041 0.117
Y 0.959 0.123 0.383
Zr 0.198 0.359 0.092
Zr 0.295 0.476 0.408
Zr 0.359 0.198 0.592
Zr 0.476 0.295 0.908
Zr 0.524 0.705 0.092
Zr 0.641 0.802 0.408
Zr 0.705 0.524 0.592
Zr 0.802 0.641 0.908
Ni 0.086 0.413 0.750
Ni 0.413 0.086 0.250
Ni 0.416 0.584 0.250
Ni 0.584 0.416 0.750
Ni 0.587 0.914 0.750
Ni 0.914 0.587 0.250
C 0.000 0.500 0.500
C 0.172 0.655 0.000
C 0.345 0.828 0.500
C 0.500 0.000 0.000
C 0.655 0.172 0.500
C 0.828 0.345 0.000
```

energy = -8.088 eV/atom
calculated volume = 16.384 Å³/atom



Entry 8:
A plane-wave DFT calculation with PBE was carried out for a relaxed BaNiAsAu crystal. Values from VASP.

```
&SYSTEM
  ibrav = 0, nat = 4, ntyp = 4
/
ATOMIC_SPECIES
Ba 137.33 Ba.upf
Ni 58.69 Ni.upf
As 74.92 As.upf
Au 196.97 Au.upf
CELL_PARAMETERS angstrom
0.000 3.598 3.598
3.598 0.000 3.598
3.598 3.598 0.000
ATOMIC_POSITIONS crystal
Ba 0.000 0.000 0.000
Ni 0.750 0.750 0.750
As 0.500 0.500 0.500
Au 0.250 0.250 0.250
```

energy = -3.775 eV/atom
offset from the most stable computed form = 0.06 eV per formula unit
calculated volume = 23.295 Å³/atom